The following is a PBE-GGA calculation of a relaxed GaAs2HSe crystal, from Alexandria via LeMat-Bulk.

Values from the calculation:
The value obtained for the total DFT energy (no corrections) is -13.93 eV for the cell shown. For the energy above the lowest structure with this stoichiometry, the calculation gives 568 meV/atom. The total magnetic moment is 0.98 μB per cell. For the calculated volume, the calculation gives 25.004 Å³/atom.

Cell: 4.9504 4.9504 5.1014 Å, 90.00 90.00 90.00°
Closest atoms and distances in Å follow each position.
Sites, in units of the cell vectors:
Ga 0.0000 0.0000 0.0000  4 As 2.48, 2 Se 2.55
As 0.0000 0.5000 0.0000  2 Ga 2.48
As 0.5000 0.0000 0.0000  2 Ga 2.48
H 0.5000 0.5000 0.5000  4 Se 3.50, 8 As 3.55
Se 0.0000 0.0000 0.5000  2 Ga 2.55